Record 1
Material: TbPm2DyHo5
Method: DFT, PBE
State: optimized geometry

```
18
Lattice="8.6117 0.0000 0.0000 0.0000 8.6117 0.0000 -4.3059 -4.3059 7.7890" Properties=species:S:1:pos:R:3 pbc="T T T"
Tb 4.3059 4.3059 3.8945
Tb 0.0000 0.0000 3.8945
Ho 0.0000 0.0000 0.0000
Ho 6.1255 6.7920 2.1701
Ho 2.4862 1.8197 2.1701
Ho 1.8197 2.4862 5.6190
Ho 4.3059 4.3059 0.0000
Ho -2.4862 1.8197 5.6190
Ho -1.8197 -2.4862 5.6190
Ho 6.7920 2.4862 2.1701
Ho 2.4862 -1.8197 5.6190
Ho 1.8197 6.1255 2.1701
Pm 3.2953 7.6011 0.0000
Pm 7.6011 5.3165 0.0000
Pm 5.3165 1.0106 0.0000
Pm 1.0106 3.2953 0.0000
Dy 4.3059 0.0000 3.8945
Dy 0.0000 4.3059 3.8945
```

=====

Record 2
Material: LiSnHgPt
Method: DFT, PBE
State: optimized geometry

```
4
Lattice="-0.1547 4.6095 0.9528 -4.0109 2.3947 -0.5977 -2.3969 1.5512 3.7454" Properties=species:S:1:pos:R:3 pbc="T T T"
Sn 0.0000 0.0000 0.0000
Hg -3.2812 4.2777 2.0502
Pt -4.9218 6.4166 3.0753
Li -1.6406 2.1389 1.0251
```

=====

Record 3
Material: Cd2Ag8Au
Method: DFT, PBE
State: optimized geometry

```
11
Lattice="-1.0511 -2.4272 -4.1736 -5.3259 -4.2908 2.0268 -5.2655 3.9339 -2.7716" Properties=species:S:1:pos:R:3 pbc="T T T"
Ag -5.2643 -4.1695 -2.5003
Ag -4.8530 -0.8640 -1.5420
Ag -6.3782 1.3855 -2.4181
Ag -5.2342 -0.0672 -4.8937
Ag -7.7779 -0.5588 -1.0556
Ag -6.4083 -2.7168 -0.0247
Ag -3.8646 -2.2253 -3.8628
Ag -6.7895 -1.9200 -3.3764
Cd -2.0632 -1.1388 -1.9780
Cd -9.5793 -1.6452 -2.9404
Au 0.0000 0.0000 0.0000
```

=====

| no. | DOS at the Fermi energy (states/eV/f.u.) | DFT formation energy (eV/atom) | VASP energy (eV/atom) |
| --- | --- | --- | --- |
| 1 | 11.02 | 0.274 | -4.351 |
| 2 | 1.66 | -0.376 | -3.441 |
| 3 | 3.50 | 0.153 | -2.385 |